Record 1
NdHo4S5 PBE-GGA optimized geometry; uncorrected formation energy = -1973 meV per atom
1.0
-1.957 2.774 9.828
1.957 -2.774 9.828
1.957 2.774 -9.828
Nd Ho S
1 4 5
Direct
0.000 0.000 0.000 Nd
0.202 0.202 0.000 Ho
0.401 0.401 0.000 Ho
0.599 0.599 0.000 Ho
0.798 0.798 0.000 Ho
0.106 0.606 0.500 S
0.301 0.801 0.500 S
0.500 0.000 0.500 S
0.699 0.199 0.500 S
0.894 0.394 0.500 S

=====

Record 2
K2SnPb6Au PBE-GGA optimized geometry; calculated formation energy = -0.20 eV per formula unit
1.0
3.973 2.294 13.484
-3.973 2.294 13.484
0.000 -4.588 13.484
K Sn Pb Au
4 2 12 2
Direct
0.104 0.104 0.104 K
0.278 0.278 0.278 K
0.722 0.722 0.722 K
0.896 0.896 0.896 K
0.426 0.426 0.426 Sn
0.574 0.574 0.574 Sn
0.083 0.665 0.665 Pb
0.222 0.222 0.640 Pb
0.222 0.640 0.222 Pb
0.335 0.335 0.917 Pb
0.335 0.917 0.335 Pb
0.360 0.778 0.778 Pb
0.640 0.222 0.222 Pb
0.665 0.083 0.665 Pb
0.665 0.665 0.083 Pb
0.778 0.360 0.778 Pb
0.778 0.778 0.360 Pb
0.917 0.335 0.335 Pb
0.000 0.000 0.000 Au
0.500 0.500 0.500 Au

=====

| no. | E_tot (eV/atom) | spin magnetization (μB per formula unit) |
| --- | --- | --- |
| 1 | -6.344 | 0.0 |
| 2 | -3.192 | 0.0 |